No. 1
# NaAcC2N4

Crystalline NaAcC2N4 at its relaxed geometry (PBE-GGA, Alexandria via LeMat-Bulk).

Output
DOS at the Fermi energy ... 0.00 states/eV/cell
Spin magnetization ... 0.00 μB/cell
VASP energy ... -62.5 eV per cell
Crystal system ... orthorhombic
Space group ... I222, No. 23

Lattice parameters (Å, degrees): 5.789 5.274 5.274 66.98 56.72 56.72
Element x y z (fractional)
Na 0.500 0.500 0.500
Ac 0.000 0.000 0.000
C 0.248 0.252 0.252
C 0.752 0.748 0.748
N 0.400 0.102 0.402
N 0.904 0.898 0.598
N 0.096 0.402 0.102
N 0.600 0.598 0.898



No. 2
# AcNdC3N6

Crystalline AcNdC3N6 at its relaxed geometry (PBE-GGA, Alexandria via LeMat-Bulk).

Output
DOS at the Fermi energy ... 0.00 states/eV/cell
Spin magnetization ... 0.00 μB/cell
VASP energy ... -94.5 eV per cell
Crystal system ... trigonal
Space group ... R3, No. 146

Lattice parameters (Å, degrees): 6.508 6.508 6.508 115.16 64.84 115.16
Element x y z (fractional)
Ac 0.417 0.583 0.417
Nd 0.057 0.943 0.057
C 0.521 0.799 0.976
C 0.976 0.479 0.201
C 0.201 0.024 0.521
N 0.097 0.366 0.186
N 0.634 0.814 0.097
N 0.218 0.141 0.405
N 0.859 0.595 0.218
N 0.405 0.782 0.859
N 0.186 0.903 0.634



No. 3
# Ac2OsC2N6

Crystalline Ac2OsC2N6 at its relaxed geometry (PBE-GGA, Alexandria via LeMat-Bulk).

Output
DOS at the Fermi energy ... 2.29 states/eV/cell
Spin magnetization ... 0.00 μB/cell
VASP energy ... -91.8 eV per cell
Crystal system ... trigonal
Space group ... R-3m, No. 166

Lattice parameters (Å, degrees): 5.291 5.291 6.178 64.65 64.65 60.00
Element x y z (fractional)
Ac 0.775 0.775 0.675
Ac 0.225 0.225 0.325
Os 0.000 0.000 0.000
C 0.407 0.407 0.779
C 0.593 0.593 0.221
N 0.739 0.739 0.233
N 0.289 0.739 0.233
N 0.739 0.289 0.233
N 0.261 0.711 0.767
N 0.711 0.261 0.767
N 0.261 0.261 0.767



No. 4
# Ac3OsC2N6

Crystalline Ac3OsC2N6 at its relaxed geometry (PBE-GGA, Alexandria via LeMat-Bulk).

Output
DOS at the Fermi energy ... 3.52 states/eV/cell
Spin magnetization ... 0.00 μB/cell
VASP energy ... -96.3 eV per cell
Crystal system ... trigonal
Space group ... P-3m1, No. 164

Lattice parameters (Å, degrees): 5.381 5.381 6.991 90.00 90.00 120.00
Element x y z (fractional)
Ac 0.333 0.667 0.668
Ac 0.667 0.333 0.332
Ac 0.000 0.000 0.000
Os 0.000 0.000 0.500
C 0.667 0.333 0.718
C 0.333 0.667 0.282
N 0.633 0.816 0.279
N 0.184 0.367 0.279
N 0.184 0.816 0.279
N 0.816 0.633 0.721
N 0.367 0.184 0.721
N 0.816 0.184 0.721



Question: The lowest VASP energy belongs to which entry?
Answer: Ac3OsC2N6